Material: TiAsN2
Method: DFT, GGA-PBEsol
State: optimized geometry

extended XYZ file:
```
8
Lattice="-3.663 3.189 0.514 -2.929 -2.952 -2.560 2.043 -2.169 4.820" Properties=species:S:1:pos:R:3 pbc="T T T"
As -2.091 -2.501 0.619
As 0.000 0.000 0.000
N -3.576 -1.798 -0.821
N -3.642 1.011 0.673
N 0.588 -1.718 3.254
N -2.467 -1.357 2.441
Ti -2.458 0.570 2.155
Ti -3.296 0.119 -1.023
```

Summary:
The density of states at the Fermi level comes out at 0.4230 states/eV per atom. As for the total energy: -0.289 hartree per atom. As for the spin magnetization: 0.000 μB per atom. As for the crystal system: tetragonal.

Material: ZrTiAs2N
Method: DFT, GGA-PBEsol
State: optimized geometry

extended XYZ file:
```
5
Lattice="-1.519 1.281 -3.213 -4.041 0.425 2.080 1.067 4.273 1.199" Properties=species:S:1:pos:R:3 pbc="T T T"
As 0.533 2.136 0.600
As -2.020 0.212 1.040
N 0.000 0.000 0.000
Zr -2.247 2.989 0.033
Ti -0.760 0.641 -1.606
```

Summary:
The density of states at the Fermi level comes out at 0.5993 states/eV per atom. As for the total energy: -0.280 hartree per atom. As for the spin magnetization: 0.000 μB per atom. As for the crystal system: tetragonal.

Material: TlAsN2
Method: DFT, GGA-PBEsol
State: optimized geometry

extended XYZ file:
```
4
Lattice="-1.136 1.346 -2.408 -1.245 -1.626 -2.170 -6.969 0.388 1.656" Properties=species:S:1:pos:R:3 pbc="T T T"
Tl 0.000 0.000 0.000
As -4.675 0.054 -1.461
N -4.578 -0.109 -3.445
N -4.772 0.217 0.524
```

Summary:
The density of states at the Fermi level comes out at 0.1551 states/eV per atom. As for the total energy: -0.207 hartree per atom. As for the spin magnetization: 0.000 μB per atom. As for the crystal system: trigonal.

Material: U2AsN2
Method: DFT, GGA-PBEsol
State: optimized geometry

extended XYZ file:
```
5
Lattice="-1.626 3.275 -0.926 -1.525 -3.254 -1.148 -3.645 -0.244 5.536" Properties=species:S:1:pos:R:3 pbc="T T T"
As 0.000 0.000 0.000
U -2.610 -1.148 0.522
U -4.187 0.925 2.940
N -2.959 1.007 1.075
N -3.837 -1.230 2.387
```

Summary:
The density of states at the Fermi level comes out at 1.5786 states/eV per atom. As for the total energy: -0.391 hartree per atom. As for the spin magnetization: 0.524 μB per atom. As for the crystal system: trigonal.

Material: AsW2N
Method: DFT, GGA-PBEsol
State: optimized geometry

extended XYZ file:
```
4
Lattice="-3.257 1.380 -2.192 -3.804 -1.512 0.749 -2.870 2.398 1.824" Properties=species:S:1:pos:R:3 pbc="T T T"
As -4.965 1.132 0.191
W -2.483 0.566 0.095
W -7.448 1.699 0.286
N 0.000 0.000 0.000
```

Summary:
The density of states at the Fermi level comes out at 1.3110 states/eV per atom. As for the total energy: -0.352 hartree per atom. As for the spin magnetization: 0.000 μB per atom. As for the crystal system: cubic.

Material: AsW3N
Method: DFT, GGA-PBEsol
State: optimized geometry

extended XYZ file:
```
5
Lattice="4.101 0.000 0.000 0.000 4.101 0.000 0.000 0.000 4.101" Properties=species:S:1:pos:R:3 pbc="T T T"
As 2.051 2.051 2.051
W 0.000 2.051 0.000
W 0.000 0.000 2.051
W 2.051 0.000 0.000
N 0.000 0.000 0.000
```

Summary:
The density of states at the Fermi level comes out at 0.7145 states/eV per atom. As for the total energy: -0.394 hartree per atom. As for the spin magnetization: 0.000 μB per atom. As for the crystal system: cubic.

Material: As3WN
Method: DFT, GGA-PBEsol
State: optimized geometry

extended XYZ file:
```
5
Lattice="4.186 0.000 0.000 0.000 4.186 0.000 0.000 0.000 4.186" Properties=species:S:1:pos:R:3 pbc="T T T"
As 0.000 2.093 0.000
As 0.000 0.000 2.093
As 2.093 0.000 0.000
W 2.093 2.093 2.093
N 0.000 0.000 0.000
```

Summary:
The density of states at the Fermi level comes out at 0.6394 states/eV per atom. As for the total energy: -0.243 hartree per atom. As for the spin magnetization: 0.228 μB per atom. As for the crystal system: cubic.

Material: Y2AsN
Method: DFT, GGA-PBEsol
State: optimized geometry

extended XYZ file:
```
4
Lattice="4.675 0.000 0.000 2.337 4.049 0.000 2.337 1.350 3.817" Properties=species:S:1:pos:R:3 pbc="T T T"
Y 2.337 1.350 0.954
Y 7.012 4.049 2.863
As 4.675 2.699 1.909
N 0.000 0.000 0.000
```

Summary:
The density of states at the Fermi level comes out at 0.3772 states/eV per atom. As for the total energy: -0.275 hartree per atom. As for the spin magnetization: 0.000 μB per atom. As for the crystal system: cubic.

Material: ZnAs3N
Method: DFT, GGA-PBEsol
State: optimized geometry

extended XYZ file:
```
5
Lattice="4.759 0.000 0.000 0.000 4.759 0.000 0.000 0.000 4.759" Properties=species:S:1:pos:R:3 pbc="T T T"
As 0.000 2.379 0.000
As 0.000 0.000 2.379
As 2.379 0.000 0.000
Zn 0.000 0.000 0.000
N 2.379 2.379 2.379
```

Summary:
The density of states at the Fermi level comes out at 0.7039 states/eV per atom. As for the total energy: -0.122 hartree per atom. As for the spin magnetization: 0.477 μB per atom. As for the crystal system: cubic.

Material: ZnAsN2
Method: DFT, GGA-PBEsol
State: optimized geometry

extended XYZ file:
```
4
Lattice="3.207 0.000 0.000 1.604 2.777 0.000 1.604 0.926 5.560" Properties=species:S:1:pos:R:3 pbc="T T T"
As 0.000 0.000 0.000
Zn 3.207 1.852 2.780
N 4.811 2.777 1.755
N 1.604 0.926 3.805
```

Summary:
The density of states at the Fermi level comes out at 0.4704 states/eV per atom. As for the total energy: -0.191 hartree per atom. As for the spin magnetization: 0.000 μB per atom. As for the crystal system: trigonal.

Material: NaAs
Method: DFT, GGA-PBEsol
State: optimized geometry

extended XYZ file:
```
16
Lattice="5.870 0.000 0.000 0.000 6.205 -0.008 0.000 1.007 10.250" Properties=species:S:1:pos:R:3 pbc="T T T"
Na 3.575 1.368 6.860
Na 0.640 3.246 8.511
Na 2.295 5.845 3.382
Na 5.230 3.967 1.731
Na 1.979 5.929 9.921
Na 4.914 4.890 5.442
Na 3.891 1.283 0.321
Na 0.956 2.323 4.800
As 0.627 6.732 7.269
As 3.562 4.087 8.094
As 5.243 0.480 2.973
As 2.308 3.126 2.148
As 4.932 5.906 9.031
As 1.996 4.913 6.332
As 0.939 1.307 1.211
As 3.874 2.300 3.910
```

Summary:
For the formation energy, the calculation gives -367 meV per atom. As for the total energy: -0.133 hartree per atom. As for the spin magnetization: 0.000 μB per atom. As for the crystal system: monoclinic.

Material: NaAs
Method: DFT, GGA-PBEsol
State: optimized geometry

extended XYZ file:
```
4
Lattice="3.675 0.000 0.000 0.000 4.775 0.000 0.000 -2.388 5.365" Properties=species:S:1:pos:R:3 pbc="T T T"
Na 2.756 2.388 3.893
Na 0.919 0.000 1.471
As 2.756 2.388 0.848
As 0.919 0.000 4.516
```

Summary:
For the formation energy, the calculation gives -318 meV per atom. The density of states at the Fermi level comes out at 0.2628 states/eV per atom. As for the total energy: -0.131 hartree per atom. As for the spin magnetization: 0.000 μB per atom. As for the crystal system: orthorhombic.

Material: Na3As
Method: DFT, GGA-PBEsol
State: optimized geometry

extended XYZ file:
```
8
Lattice="-4.837 1.423 0.028 1.412 -4.080 -2.603 -1.464 -5.123 7.235" Properties=species:S:1:pos:R:3 pbc="T T T"
Na -1.520 -5.218 2.471
Na -2.871 -0.822 -0.270
Na -0.366 -1.281 1.809
Na -1.098 -3.842 5.426
Na -2.018 -6.959 4.930
Na -3.369 -2.563 2.190
As -3.852 -4.254 4.578
As -1.037 -3.527 0.083
```

Summary:
For the formation energy, the calculation gives -404 meV per atom. The density of states at the Fermi level comes out at 0.1226 states/eV per atom. As for the total energy: -0.100 hartree per atom. As for the spin magnetization: 0.000 μB per atom. As for the crystal system: hexagonal.

Material: Na3As
Method: DFT, GGA-PBEsol
State: optimized geometry

extended XYZ file:
```
4
Lattice="-0.412 4.861 -1.162 -3.912 2.656 1.673 0.668 3.490 3.540" Properties=species:S:1:pos:R:3 pbc="T T T"
Na -0.914 2.752 1.013
Na -1.828 5.503 2.025
Na -2.742 8.255 3.038
As 0.000 0.000 0.000
```

Summary:
For the formation energy, the calculation gives -366 meV per atom. The density of states at the Fermi level comes out at 0.1035 states/eV per atom. As for the total energy: -0.099 hartree per atom. As for the spin magnetization: 0.000 μB per atom. As for the crystal system: cubic.

Material: NaAs
Method: DFT, GGA-PBEsol
State: optimized geometry

extended XYZ file:
```
16
Lattice="-5.663 1.227 1.219 -0.485 -5.330 3.110 2.947 4.865 8.797" Properties=species:S:1:pos:R:3 pbc="T T T"
Na -2.870 2.673 8.307
Na -3.414 -1.713 4.677
Na 1.056 -0.426 9.770
Na -1.175 0.989 3.498
Na 0.313 -1.014 5.721
Na 0.331 2.836 9.823
Na -4.844 0.927 2.083
Na -2.203 -1.226 8.626
As -2.347 0.528 6.238
As -2.446 2.895 11.200
As -2.535 -4.466 3.812
As 0.924 2.566 5.002
As -0.272 1.705 6.976
As -0.820 -2.750 3.385
As -1.535 0.610 11.062
As -3.775 1.957 4.830
```

Summary:
For the formation energy, the calculation gives -364 meV per atom. As for the total energy: -0.133 hartree per atom. As for the spin magnetization: 0.000 μB per atom. As for the crystal system: orthorhombic.

Material: Na3As
Method: DFT, GGA-PBEsol
State: optimized geometry

extended XYZ file:
```
24
Lattice="8.746 0.000 0.000 -4.373 7.574 0.000 0.000 0.000 8.965" Properties=species:S:1:pos:R:3 pbc="T T T"
Na 0.000 0.000 6.287
Na 0.000 0.000 1.805
Na 4.373 2.525 2.475
Na 0.000 5.049 6.958
Na 4.373 2.525 6.958
Na 0.000 5.049 2.475
Na -3.074 5.324 8.233
Na 3.074 5.324 3.750
Na 2.598 0.000 3.750
Na 6.147 0.000 8.233
Na 1.299 2.250 8.233
Na -1.299 2.250 3.750
Na -2.779 4.813 5.198
Na 2.779 4.813 0.715
Na 3.187 0.000 0.715
Na 5.558 0.000 5.198
Na 1.594 2.760 5.198
Na -1.594 2.760 0.715
As -1.443 2.500 6.717
As 1.443 2.500 2.234
As 5.859 0.000 2.234
As 2.886 0.000 6.717
As 2.930 5.074 6.717
As -2.930 5.074 2.234
```

Summary:
For the formation energy, the calculation gives -405 meV per atom. The density of states at the Fermi level comes out at 0.1500 states/eV per atom. As for the total energy: -0.100 hartree per atom. As for the spin magnetization: 0.000 μB per atom. As for the crystal system: hexagonal.

Material: Na3As7
Method: DFT, GGA-PBEsol
State: optimized geometry

extended XYZ file:
```
80
Lattice="-8.739 6.568 -0.634 -7.569 -9.353 7.437 7.411 10.656 8.245" Properties=species:S:1:pos:R:3 pbc="T T T"
Na -7.343 3.604 5.169
Na 3.012 8.355 6.217
Na -1.554 4.267 9.879
Na -11.910 -0.485 8.831
Na -5.136 -2.632 6.455
Na -6.602 5.117 12.379
Na -3.762 10.503 8.593
Na -2.295 2.754 2.669
Na -2.690 7.689 12.045
Na -6.558 -7.076 6.971
Na -6.208 0.181 3.003
Na -2.339 14.947 8.077
Na -3.966 5.545 5.558
Na 2.115 4.551 6.008
Na -4.932 2.326 9.490
Na -11.013 3.320 9.040
Na -11.433 -4.571 7.813
Na 2.395 5.027 11.217
Na 2.536 12.442 7.235
Na -11.292 2.843 3.831
Na -7.734 -0.889 9.506
Na -8.701 6.904 8.989
Na -1.163 8.760 5.543
Na -0.197 0.967 6.059
As -5.341 -0.165 7.972
As -6.693 5.988 6.918
As -9.967 0.928 10.673
As -2.204 1.883 8.130
As -6.941 2.913 1.619
As 3.456 8.411 9.829
As -1.956 4.958 13.429
As -12.354 -0.540 5.219
As -8.196 6.241 2.615
As 0.018 8.609 8.493
As -0.702 1.629 12.433
As -8.916 -0.738 6.555
As -5.694 6.183 2.864
As 0.782 6.213 8.480
As -3.204 1.687 12.184
As -9.680 1.658 6.568
As 1.070 6.943 4.375
As 0.019 7.287 10.630
As -2.165 1.408 14.464
As -8.917 0.584 4.418
As -8.847 3.953 2.661
As 2.035 9.871 8.546
As -0.051 3.918 12.387
As -10.933 -2.000 6.502
As -5.148 3.859 2.978
As 3.167 6.334 8.579
As -3.750 4.012 12.070
As -12.065 1.537 6.469
As 0.661 14.938 7.859
As -5.398 -2.673 3.498
As -9.558 -7.067 7.189
As -3.500 10.544 11.550
As -2.352 -1.068 5.886
As 0.179 11.407 5.657
As -6.545 8.939 9.162
As -9.076 -3.536 9.391
As -6.732 6.463 0.584
As -8.880 4.516 10.683
As -3.557 8.035 7.076
As -0.017 3.355 4.365
As -3.333 2.643 6.181
As -3.615 11.284 5.016
As -5.564 5.228 8.867
As -5.282 -3.413 10.032
As -3.472 0.640 4.669
As -1.876 12.084 6.644
As -5.425 7.230 10.380
As -7.022 -4.213 8.404
As -5.451 1.289 6.096
As -10.476 4.343 12.435
As -3.447 6.582 8.952
As 1.578 3.527 2.613
As -2.946 -0.441 8.161
As -7.943 2.288 10.736
As -5.951 8.312 6.887
As -0.955 5.583 4.313
```

Summary:
For the formation energy, the calculation gives -220 meV per atom. As for the total energy: -0.155 hartree per atom. As for the spin magnetization: 0.000 μB per atom. As for the crystal system: monoclinic.

Material: NaNbAs3
Method: DFT, GGA-PBEsol
State: optimized geometry

extended XYZ file:
```
5
Lattice="4.991 0.000 0.000 0.000 4.991 0.000 0.000 0.000 4.991" Properties=species:S:1:pos:R:3 pbc="T T T"
Na 2.495 2.495 2.495
Nb 0.000 0.000 0.000
As 0.000 2.495 0.000
As 0.000 0.000 2.495
As 2.495 0.000 0.000
```

Summary:
For the formation energy, the calculation gives -16 meV per atom. The density of states at the Fermi level comes out at 0.6447 states/eV per atom. As for the total energy: -0.203 hartree per atom. As for the spin magnetization: 0.000 μB per atom. As for the crystal system: cubic.

Material: Na2NbAsO6
Method: DFT, GGA-PBEsol
State: optimized geometry

extended XYZ file:
```
40
Lattice="7.348 -0.008 -0.006 2.311 8.803 -0.045 2.311 2.095 8.550" Properties=species:S:1:pos:R:3 pbc="T T T"
Na 2.111 1.983 5.534
Na 5.785 5.846 0.576
Na 9.858 8.907 2.965
Na 4.148 2.144 8.483
Na 6.184 5.044 7.923
Na 7.821 5.727 3.884
Na 7.821 8.746 0.016
Na 4.148 5.163 4.615
Nb 5.839 3.132 2.459
Nb 2.166 3.150 2.444
Nb 9.804 7.740 6.055
Nb 6.130 7.758 6.040
As 9.890 4.761 8.012
As 6.217 8.932 2.675
As 5.752 1.958 5.824
As 2.079 6.129 0.487
O 2.275 3.826 4.112
O 9.694 7.064 4.387
O 6.525 7.904 4.029
O 9.529 3.210 7.481
O 8.009 7.758 6.729
O 3.960 3.132 1.770
O 6.236 3.287 0.365
O 5.855 8.041 1.299
O 7.634 2.474 2.605
O 4.336 8.416 5.894
O 9.407 9.733 5.396
O 6.020 5.975 5.790
O 1.771 5.066 1.813
O 1.710 2.601 0.338
O 5.384 0.956 2.438
O 2.441 7.680 1.018
O 10.198 5.824 6.686
O 10.259 8.289 8.162
O 6.114 2.849 7.200
O 5.949 4.915 2.709
O 5.734 7.603 8.134
O 6.586 9.934 6.061
O 5.445 2.986 4.470
O 2.562 1.157 3.103
```

Summary:
The density of states at the Fermi level comes out at 0.0000 states/eV per atom. As for the total energy: -0.257 hartree per atom. As for the spin magnetization: 0.000 μB per atom. As for the crystal system: monoclinic.